(1)
Below is a relaxed AcZrSb3 crystal, with properties calculated at the PBE-GGA level.

Energy above the most stable polymorph in this dataset   0.401 eV/atom
Formation energy without anion corrections   -0.369 eV per atom
Energy   -5.3737 eV/atom
M_tot   0.000 μB/f.u.

Cell lengths 5.537, 5.537, 5.537 Å; angles 90.00, 90.00, 90.00 degrees
Positions (direct):
Sb 0.000 0.500 0.000
Sb 0.000 0.000 0.500
Sb 0.500 0.000 0.000
Zr 0.000 0.000 0.000
Ac 0.500 0.500 0.500

(2)
Below is a relaxed AcZrSb2 crystal, with properties calculated at the PBE-GGA level.

Energy above the most stable polymorph in this dataset   0.884 eV/atom
Formation energy without anion corrections   0.236 eV per atom
Energy   -4.9897 eV/atom
M_tot   0.000 μB/f.u.

Cell lengths 4.462, 4.462, 10.007 Å; angles 77.12, 77.12, 60.00 degrees
Positions (direct):
Ac 0.500 0.500 0.500
Sb 0.906 0.906 0.283
Sb 0.094 0.094 0.717
Zr 0.000 0.000 0.000

(3)
Below is a relaxed AcZrSb2 crystal, with properties calculated at the PBE-GGA level.

Energy above the most stable polymorph in this dataset   0.085 eV/atom
Formation energy without anion corrections   -0.563 eV per atom
Energy   -5.7881 eV/atom
M_tot   1.226 μB/f.u.

Cell lengths 5.439, 5.439, 5.439 Å; angles 60.00, 60.00, 60.00 degrees
Last column: magnetic moment on the atom in μB.
Positions (direct):
Zr 0.500 0.500 0.500  0.70
Sb 0.750 0.750 0.750  -0.05
Sb 0.250 0.250 0.250  -0.05
Ac 0.000 0.000 0.000  0.09

(4)
Below is a relaxed Ac2ZrSb crystal, with properties calculated at the PBE-GGA level.

Formation energy without anion corrections   -0.236 eV per atom
Energy   -5.4576 eV/atom
M_tot   0.001 μB/f.u.

Cell lengths 4.776, 5.152, 5.152 Å; angles 90.00, 90.00, 90.00 degrees
Positions (direct):
Sb 0.500 0.500 0.500
Zr 0.500 0.000 0.000
Ac 0.000 0.000 0.500
Ac 0.000 0.500 0.000

(5)
Below is a relaxed AcZrSb2 crystal, with properties calculated at the PBE-GGA level.

Energy above the most stable polymorph in this dataset   0.000 eV/atom
Formation energy without anion corrections   -0.648 eV per atom
Energy   -5.8732 eV/atom
M_tot   0.001 μB/f.u.

Cell lengths 3.762, 3.762, 7.882 Å; angles 90.00, 90.00, 90.00 degrees
Positions (direct):
Ac 0.500 0.500 0.500
Sb 0.000 0.000 0.210
Sb 0.000 0.000 0.790
Zr 0.500 0.500 0.000

(6)
Below is a relaxed AcZrSb crystal, with properties calculated at the PBE-GGA level.

Formation energy without anion corrections   -0.388 eV per atom
Energy   -5.9810 eV/atom
M_tot   0.077 μB/f.u.

Cell lengths 4.662, 4.662, 11.755 Å; angles 78.56, 78.56, 60.00 degrees
Positions (direct):
Sb 0.775 0.775 0.676
Sb 0.225 0.225 0.324
Zr 0.139 0.139 0.582
Zr 0.861 0.861 0.418
Ac 0.615 0.615 0.155
Ac 0.385 0.385 0.845

(7)
Below is a relaxed AcSc5 crystal, with properties calculated at the PBE-GGA level.

Energy   -5.8336 eV/atom
E_form   0.13 eV per atom
M_tot   0.004 μB/f.u.

Cell lengths 3.730, 5.406, 8.552 Å; angles 108.42, 90.00, 90.00 degrees
Positions (direct):
Ac 0.000 0.000 0.000
Sc 0.000 0.660 0.319
Sc 0.000 0.340 0.681
Sc 0.500 0.184 0.368
Sc 0.500 0.816 0.632
Sc 0.500 0.500 0.000

(8)
Below is a relaxed AcSc2 crystal, with properties calculated at the PBE-GGA level.

Energy above the most stable polymorph in this dataset   0.119 eV/atom
Energy   -5.3625 eV/atom
E_form   0.23 eV per atom
M_tot   3.196 μB/f.u.

Cell lengths 6.518, 6.518, 6.518 Å; angles 60.00, 60.00, 60.00 degrees
Last column: magnetic moment on the atom in μB.
Positions (direct):
Ac 0.000 0.000 0.000  0.30
Ac 0.250 0.250 0.250  0.30
Sc 0.625 0.625 0.625  0.64
Sc 0.625 0.625 0.125  0.64
Sc 0.125 0.625 0.625  0.64
Sc 0.625 0.125 0.625  0.64

(9)
Below is a relaxed AcSc4 crystal, with properties calculated at the PBE-GGA level.

Energy   -4.6892 eV/atom
E_form   1.20 eV per atom
M_tot   0.000 μB/f.u.

Cell lengths 5.478, 5.478, 5.478 Å; angles 90.00, 90.00, 90.00 degrees
Positions (direct):
Sc 0.500 0.000 0.500
Sc 0.000 0.000 0.000
Sc 0.500 0.500 0.000
Sc 0.000 0.500 0.500
Ac 0.500 0.500 0.500

(10)
Below is a relaxed AcSc2 crystal, with properties calculated at the PBE-GGA level.

Energy above the most stable polymorph in this dataset   0.000 eV/atom
Energy   -5.4819 eV/atom
E_form   0.11 eV per atom
M_tot   0.000 μB/f.u.

Cell lengths 3.931, 3.931, 6.547 Å; angles 107.47, 107.48, 90.02 degrees
Positions (direct):
Sc 0.814 0.814 0.629
Sc 0.186 0.186 0.371
Ac 0.500 0.500 0.000

(11)
Below is a relaxed Ac4Sc crystal, with properties calculated at the PBE-GGA level.

Energy   -4.0672 eV/atom
E_form   0.49 eV per atom
M_tot   0.563 μB/f.u.

Cell lengths 6.133, 6.133, 6.133 Å; angles 90.00, 90.00, 90.00 degrees
Last column: magnetic moment on the atom in μB.
Positions (direct):
Sc 0.500 0.500 0.500  0.31
Ac 0.500 0.500 0.000  0.04
Ac 0.500 0.000 0.500  0.04
Ac 0.000 0.000 0.000  -0.01
Ac 0.000 0.500 0.500  0.04

(12)
Below is a relaxed AcScSe2 crystal, with properties calculated at the PBE-GGA level.

Energy above the most stable polymorph in this dataset   0.023 eV/atom
Formation energy without anion corrections   -1.671 eV per atom
Energy   -6.0237 eV/atom
M_tot   0.000 μB/f.u.

Cell lengths 4.040, 4.040, 7.728 Å; angles 74.85, 74.85, 60.00 degrees
Positions (direct):
Ac 0.497 0.497 0.510
Se 0.264 0.264 0.207
Se 0.068 0.068 0.796
Sc 0.671 0.671 0.987

(13)
Below is a relaxed AcSc4Se6 crystal, with properties calculated at the PBE-GGA level.

Formation energy without anion corrections   -1.738 eV per atom
Energy   -6.3148 eV/atom
M_tot   0.000 μB/f.u.

Cell lengths 3.988, 6.707, 20.126 Å; angles 90.00, 90.00, 107.29 degrees
Positions (direct):
Sc 0.404 0.808 0.379
Sc 0.144 0.288 0.463
Sc 0.144 0.288 0.037
Sc 0.404 0.808 0.121
Sc 0.856 0.712 0.963
Sc 0.596 0.192 0.621
Sc 0.596 0.192 0.879
Sc 0.856 0.712 0.537
Se 0.766 0.532 0.412
Se 0.234 0.468 0.588
Se 0.500 0.000 0.500
Se 0.960 0.919 0.656
Se 0.337 0.674 0.250
Se 0.766 0.532 0.088
Se 0.663 0.326 0.750
Se 0.500 0.000 0.000
Se 0.234 0.468 0.912
Se 0.960 0.919 0.844
Se 0.040 0.081 0.344
Se 0.040 0.081 0.156
Ac 0.655 0.311 0.250
Ac 0.345 0.689 0.750

(14)
Below is a relaxed AcScSe2 crystal, with properties calculated at the PBE-GGA level.

Energy above the most stable polymorph in this dataset   0.000 eV/atom
Formation energy without anion corrections   -1.695 eV per atom
Energy   -6.0470 eV/atom
M_tot   0.000 μB/f.u.

Cell lengths 4.053, 4.053, 7.575 Å; angles 74.48, 74.48, 60.00 degrees
Positions (direct):
Se 0.735 0.735 0.795
Se 0.265 0.265 0.205
Sc 0.000 0.000 0.000
Ac 0.500 0.500 0.500

(15)
Below is a relaxed Ac2ScSe3 crystal, with properties calculated at the PBE-GGA level.

Formation energy without anion corrections   -1.686 eV per atom
Energy   -5.8535 eV/atom
M_tot   0.000 μB/f.u.

Cell lengths 4.151, 5.048, 8.887 Å; angles 106.50, 103.51, 90.00 degrees
Positions (direct):
Se 0.834 0.834 0.667
Se 0.166 0.166 0.333
Se 0.000 0.500 0.000
Sc 0.000 0.000 0.000
Ac 0.356 0.356 0.712
Ac 0.644 0.644 0.288

(16)
Below is a relaxed Ac6ScSe8 crystal, with properties calculated at the PBE-GGA level.

Formation energy without anion corrections   -1.795 eV per atom
Energy   -5.7187 eV/atom
M_tot   0.001 μB/f.u.

Cell lengths 8.226, 8.226, 8.226 Å; angles 67.31, 67.31, 67.31 degrees
Positions (direct):
Ac 0.697 0.088 0.469
Ac 0.469 0.697 0.088
Ac 0.088 0.469 0.697
Ac 0.912 0.531 0.303
Ac 0.303 0.912 0.531
Ac 0.531 0.303 0.912
Se 0.661 0.914 0.174
Se 0.826 0.339 0.086
Se 0.086 0.826 0.339
Se 0.914 0.174 0.661
Se 0.174 0.661 0.914
Se 0.326 0.326 0.326
Se 0.674 0.674 0.674
Se 0.339 0.086 0.826
Sc 0.000 0.000 0.000

(17)
Below is a relaxed AcScSe2 crystal, with properties calculated at the PBE-GGA level.

Energy above the most stable polymorph in this dataset   0.109 eV/atom
Formation energy without anion corrections   -1.585 eV per atom
Energy   -5.9375 eV/atom
M_tot   0.000 μB/f.u.

Cell lengths 4.274, 4.276, 11.715 Å; angles 89.99, 90.00, 90.00 degrees
Positions (direct):
Se 0.201 0.983 0.462
Se 0.201 0.984 0.998
Se 0.701 0.484 0.218
Se 0.701 0.483 0.754
Sc 0.701 0.483 0.989
Sc 0.201 0.984 0.227
Ac 0.701 0.483 0.480
Ac 0.201 0.983 0.736

(18)
Below is a relaxed Ac2Sc2Se5 crystal, with properties calculated at the PBE-GGA level.

Formation energy without anion corrections   -1.727 eV per atom
Energy   -5.9826 eV/atom
M_tot   0.000 μB/f.u.

Cell lengths 5.256, 7.613, 7.800 Å; angles 115.57, 90.00, 110.20 degrees
Positions (direct):
Sc 0.155 0.309 0.880
Sc 0.845 0.691 0.120
Se 0.854 0.708 0.464
Se 0.637 0.274 0.894
Se 0.000 0.000 0.000
Se 0.363 0.726 0.106
Se 0.146 0.292 0.536
Ac 0.610 0.220 0.286
Ac 0.390 0.780 0.714

(19)
Below is a relaxed Ac2ScSe4 crystal, with properties calculated at the PBE-GGA level.

Formation energy without anion corrections   -1.756 eV per atom
Energy   -5.8252 eV/atom
M_tot   0.000 μB/f.u.

Cell lengths 7.399, 6.951, 8.579 Å; angles 90.00, 106.91, 90.00 degrees
Positions (direct):
Se 0.491 0.509 0.744
Se 0.491 0.991 0.744
Se 0.509 0.009 0.256
Se 0.509 0.491 0.256
Se 0.941 0.250 0.111
Se 0.062 0.750 0.392
Se 0.938 0.250 0.608
Se 0.059 0.750 0.889
Ac 0.743 0.750 0.558
Ac 0.728 0.750 0.060
Ac 0.272 0.250 0.940
Ac 0.257 0.250 0.442
Sc 0.251 0.750 0.188
Sc 0.749 0.250 0.812

(20)
Below is a relaxed AcSc4Se8 crystal, with properties calculated at the PBE-GGA level.

Formation energy without anion corrections   -1.662 eV per atom
Energy   -6.0706 eV/atom
M_tot   0.000 μB/f.u.

Cell lengths 7.651, 7.651, 8.618 Å; angles 63.65, 63.65, 60.00 degrees
Positions (direct):
Se 0.235 0.235 0.786
Se 0.743 0.235 0.786
Se 0.765 0.257 0.214
Se 0.257 0.765 0.214
Se 0.263 0.263 0.210
Se 0.235 0.743 0.786
Se 0.765 0.765 0.214
Se 0.737 0.737 0.790
Sc 0.500 0.500 0.000
Sc 0.000 0.500 0.000
Sc 0.500 0.000 0.000
Sc 0.000 0.000 0.000
Ac 0.500 0.500 0.500

(21)
Below is a relaxed AcSmScSe3 crystal, with properties calculated at the PBE-GGA level.

Formation energy without anion corrections   -1.636 eV per atom
Energy   -5.9043 eV/atom
M_tot   0.465 μB/f.u.

Cell lengths 4.201, 8.696, 9.496 Å; angles 106.11, 90.00, 90.00 degrees
Last column: magnetic moment on the atom in μB.
Positions (direct):
Se 0.750 0.441 0.187  0.00
Se 0.750 0.897 0.122  0.00
Se 0.250 0.103 0.878  0.00
Se 0.250 0.559 0.813  0.00
Se 0.250 0.771 0.502  -0.01
Se 0.750 0.229 0.498  -0.01
Sm 0.250 0.654 0.138  0.04
Sm 0.750 0.346 0.862  0.04
Ac 0.250 0.188 0.221  0.00
Ac 0.750 0.812 0.779  0.00
Sc 0.250 0.104 0.601  0.27
Sc 0.750 0.896 0.399  0.27

(22)
Below is a relaxed Ac3Sm3ScSe8 crystal, with properties calculated at the PBE-GGA level.

Formation energy without anion corrections   -1.842 eV per atom
Energy   -5.8878 eV/atom
M_tot   0.000 μB/f.u.

Cell lengths 8.462, 8.462, 8.656 Å; angles 119.26, 90.00, 120.00 degrees
Positions (direct):
Se 0.235 0.988 0.723
Se 0.257 0.513 0.270
Se 0.743 0.487 0.730
Se 0.765 0.530 0.277
Se 0.247 0.012 0.277
Se 0.765 0.012 0.277
Se 0.235 0.470 0.723
Se 0.753 0.988 0.723
Sm 0.000 0.500 0.500
Sm 0.500 0.500 0.500
Sm 0.500 0.000 0.500
Sc 0.000 0.000 0.500
Ac 0.000 0.000 0.000
Ac 0.500 0.500 0.000
Ac 0.000 0.500 0.000

(23)
Below is a relaxed Ac2SmScSe6 crystal, with properties calculated at the PBE-GGA level.

Formation energy without anion corrections   -1.924 eV per atom
Energy   -5.9415 eV/atom
M_tot   0.000 μB/f.u.

Cell lengths 7.117, 7.838, 10.480 Å; angles 90.00, 89.14, 90.00 degrees
Positions (direct):
Se 0.375 0.965 0.760
Se 0.187 0.180 0.061
Se 0.330 0.695 0.062
Se 0.313 0.680 0.439
Se 0.875 0.535 0.260
Se 0.830 0.805 0.562
Se 0.813 0.820 0.939
Se 0.670 0.305 0.938
Se 0.687 0.320 0.561
Se 0.625 0.035 0.240
Se 0.170 0.195 0.438
Se 0.125 0.465 0.740
Ac 0.536 0.597 0.752
Ac 0.464 0.403 0.248
Ac 0.036 0.903 0.252
Ac 0.964 0.097 0.748
Sm 0.000 0.500 0.000
Sm 0.500 0.000 0.500
Sc 0.000 0.500 0.500
Sc 0.500 0.000 0.000

(24)
Below is a relaxed Ac4Sm3ScSe8 crystal, with properties calculated at the PBE-GGA level.

Formation energy without anion corrections   -1.786 eV per atom
Energy   -5.8360 eV/atom
M_tot   0.000 μB/f.u.

Cell lengths 8.487, 8.663, 8.488 Å; angles 119.33, 120.00, 90.00 degrees
Positions (direct):
Se 0.752 0.721 0.987
Se 0.235 0.721 0.987
Se 0.234 0.721 0.469
Se 0.257 0.271 0.514
Se 0.766 0.279 0.531
Se 0.248 0.279 0.013
Se 0.743 0.729 0.486
Se 0.765 0.279 0.013
Ac 0.500 0.000 0.000
Ac 0.500 0.000 0.500
Ac 0.000 0.000 0.000
Ac 0.000 0.000 0.500
Sc 0.000 0.500 0.000
Sm 0.500 0.500 0.000
Sm 0.000 0.500 0.500
Sm 0.500 0.500 0.500